The following is a DFT calculation (meta-GGA SCAN) of a PBEsol-optimized structure of Zn2RuRh.

Lattice parameters (Å, degrees): 2.6864 4.4230 4.7922 99.49 90.00 107.68
Atoms (fractional coordinates):
Rh: 0.0000 0.0000 0.5000
Ru: 0.5000 0.0000 0.0000
Zn: 0.7491 0.4982 0.7486
Zn: 0.2509 0.5018 0.2514

Values from the calculation:
Crystal system = monoclinic
Calculated density = 10.40 g/cm3
N(E_F) = 2.78 states/eV per cell
Formation energy = -0.09 eV per atom
Final energy = -23.999 eV per atom

---

The following is a DFT calculation (meta-GGA SCAN) of a PBEsol-optimized structure of Ta2Mo3.

Lattice parameters (Å, degrees): 4.5080 4.5080 5.2579 64.62 64.62 60.00
Atoms (fractional coordinates):
Mo: 0.4010 0.4010 0.7970
Mo: 0.5990 0.5990 0.2030
Mo: 0.0000 0.0000 0.0000
Ta: 0.7976 0.7976 0.6072
Ta: 0.2024 0.2024 0.3928

Values from the calculation:
Crystal system = trigonal
Calculated density = 13.42 g/cm3
N(E_F) = 2.36 states/eV per cell
Formation energy = -0.13 eV per atom
Final energy = -47.694 eV per atom

---

The following is a DFT calculation (meta-GGA SCAN) of a PBEsol-optimized structure of LiHSO4.

Lattice parameters (Å, degrees): 5.2290 7.1815 8.5054 90.00 91.14 90.00
Atoms (fractional coordinates):
Li: 0.5018 0.3020 0.0046
Li: 0.4982 0.8020 0.4954
Li: 0.4982 0.6980 0.9954
Li: 0.5018 0.1980 0.5046
H: 0.8684 0.6328 0.7778
H: 0.1316 0.1328 0.7222
H: 0.1316 0.3672 0.2222
H: 0.8684 0.8672 0.2778
S: 0.2183 0.4867 0.7146
S: 0.7817 0.9867 0.7854
S: 0.7817 0.5133 0.2854
S: 0.2183 0.0133 0.2146
O: 0.3321 0.4958 0.8743
O: 0.6679 0.9958 0.6257
O: 0.6679 0.5042 0.1257
O: 0.3321 0.0042 0.3743
O: 0.2470 0.2982 0.6467
O: 0.7530 0.7982 0.8533
O: 0.7530 0.7018 0.3533
O: 0.2470 0.2018 0.1467
O: 0.3149 0.6303 0.6129
O: 0.6851 0.1303 0.8871
O: 0.6851 0.3697 0.3871
O: 0.3149 0.8697 0.1129
O: 0.9255 0.5066 0.7284
O: 0.0745 0.0066 0.7716
O: 0.0745 0.4934 0.2716
O: 0.9255 0.9934 0.2284

Values from the calculation:
Crystal system = monoclinic
Calculated density = 2.16 g/cm3
N(E_F) = 0.00 states/eV per cell
Final energy = -7.483 eV per atom

---

The following is a DFT calculation (meta-GGA SCAN) of a PBEsol-optimized structure of LiZnAs2.

Lattice parameters (Å, degrees): 2.9278 2.9278 7.7051 90.00 90.00 90.00
Atoms (fractional coordinates):
As: 0.0000 0.0000 0.7507
As: 0.0000 0.0000 0.2493
Li: 0.5000 0.5000 0.0000
Zn: 0.5000 0.5000 0.5000

Values from the calculation:
Crystal system = tetragonal
Calculated density = 5.59 g/cm3
N(E_F) = 1.50 states/eV per cell
Formation energy = -0.06 eV per atom
Final energy = -14.128 eV per atom

---

The following is a DFT calculation (meta-GGA SCAN) of a PBEsol-optimized structure of LiPbIO2.

Lattice parameters (Å, degrees): 4.2491 4.2491 5.1785 90.00 90.00 90.00
Site moments in Bohr magnetons follow the coordinates.
Atoms (fractional coordinates):
Pb: 0.0000 0.0000 0.5000  -0.04
I: 0.5000 0.5000 0.5000  0.09
O: 0.0000 0.5000 0.0000  0.81
O: 0.5000 0.0000 0.0000  0.81
Li: 0.0000 0.0000 0.0000  -0.02

Values from the calculation:
Crystal system = tetragonal
Calculated density = 6.63 g/cm3
E_form (uncorrected) = -0.08 eV per atom
N(E_F) = 0.54 states/eV per cell
Final energy = -25.555 eV per atom

---

The following is a DFT calculation (meta-GGA SCAN) of a PBEsol-optimized structure of HoLuCd2.

Lattice parameters (Å, degrees): 5.1350 5.1350 5.1350 60.00 60.00 60.00
Atoms (fractional coordinates):
Lu: 0.0000 0.0000 0.0000
Ho: 0.5000 0.5000 0.5000
Cd: 0.7500 0.7500 0.7500
Cd: 0.2500 0.2500 0.2500

Values from the calculation:
Crystal system = cubic
Calculated density = 9.79 g/cm3
N(E_F) = 2.48 states/eV per cell
Formation energy = -0.42 eV per atom
Final energy = -41.713 eV per atom

---

The following is a DFT calculation (meta-GGA SCAN) of a PBEsol-optimized structure of Zr2NbPbI.

Lattice parameters (Å, degrees): 4.9823 5.1959 5.1959 90.00 90.00 90.00
Atoms (fractional coordinates):
Pb: 0.5000 0.5000 0.5000
I: 0.0000 0.0000 0.0000
Nb: 0.5000 0.0000 0.0000
Zr: 0.0000 0.0000 0.5000
Zr: 0.0000 0.5000 0.0000

Values from the calculation:
Crystal system = tetragonal
Calculated density = 7.52 g/cm3
E_form (uncorrected) = 1.03 eV per atom
N(E_F) = 8.12 states/eV per cell
Final energy = -40.384 eV per atom

---

The following is a DFT calculation (meta-GGA SCAN) of a PBEsol-optimized structure of BeCr3W.

Lattice parameters (Å, degrees): 3.9080 3.9080 3.9080 90.00 90.00 90.00
Atoms (fractional coordinates):
Cr: 0.0000 0.5000 0.0000
Cr: 0.0000 0.0000 0.5000
Cr: 0.5000 0.0000 0.0000
W: 0.5000 0.5000 0.5000
Be: 0.0000 0.0000 0.0000

Values from the calculation:
Crystal system = cubic
Calculated density = 9.71 g/cm3
N(E_F) = 7.27 states/eV per cell
Formation energy = 0.90 eV per atom
Final energy = -24.939 eV per atom

---

The following is a DFT calculation (meta-GGA SCAN) of a PBEsol-optimized structure of GaMoAu3.

Lattice parameters (Å, degrees): 4.9849 4.9849 4.9849 90.00 90.00 90.00
Atoms (fractional coordinates):
Mo: 0.0000 0.0000 0.0000
Au: 0.0000 0.5000 0.0000
Au: 0.0000 0.0000 0.5000
Au: 0.5000 0.0000 0.0000
Ga: 0.5000 0.5000 0.5000

Values from the calculation:
Crystal system = cubic
Calculated density = 10.14 g/cm3
N(E_F) = 2.91 states/eV per cell
Formation energy = 1.00 eV per atom
Final energy = -50.742 eV per atom

---

The following is a DFT calculation (meta-GGA SCAN) of a PBEsol-optimized structure of RbCuRuAu2.

Lattice parameters (Å, degrees): 4.8166 5.4169 5.4169 90.00 90.00 90.00
Site moments in Bohr magnetons follow the coordinates.
Atoms (fractional coordinates):
Ru: 0.5000 0.0000 0.0000  1.75
Au: 0.0000 0.0000 0.5000  0.02
Au: 0.0000 0.5000 0.0000  0.02
Cu: 0.5000 0.5000 0.5000  -0.01
Rb: 0.0000 0.0000 0.0000  0.06

Values from the calculation:
Crystal system = tetragonal
Calculated density = 7.57 g/cm3
N(E_F) = 3.25 states/eV per cell
Formation energy = 2.35 eV per atom
Final energy = -39.470 eV per atom

---

The following is a DFT calculation (meta-GGA SCAN) of a PBEsol-optimized structure of CaZrTe2N.

Lattice parameters (Å, degrees): 4.1459 5.6159 5.6159 90.00 90.00 90.00
Site moments in Bohr magnetons follow the coordinates.
Atoms (fractional coordinates):
Ca: 0.0000 0.0000 0.0000  0.04
Te: 0.0000 0.0000 0.5000  0.22
Te: 0.0000 0.5000 0.0000  0.22
Zr: 0.5000 0.5000 0.5000  -0.94
N: 0.5000 0.0000 0.0000  1.27

Values from the calculation:
Crystal system = tetragonal
Calculated density = 5.09 g/cm3
E_form (uncorrected) = 0.44 eV per atom
N(E_F) = 1.66 states/eV per cell
Final energy = -24.392 eV per atom

---

The following is a DFT calculation (meta-GGA SCAN) of a PBEsol-optimized structure of Ti3NiS6.

Lattice parameters (Å, degrees): 5.7603 5.7603 6.4820 63.62 63.62 60.00
Atoms (fractional coordinates):
Ti: 0.6696 0.6696 0.9912
Ti: 0.3304 0.3304 0.0088
Ti: 0.0000 0.0000 0.0000
Ni: 0.5000 0.5000 0.5000
S: 0.4189 0.0889 0.7378
S: 0.0889 0.7544 0.7378
S: 0.7544 0.4189 0.7378
S: 0.5811 0.9111 0.2622
S: 0.2456 0.5811 0.2622
S: 0.9111 0.2456 0.2622

Values from the calculation:
Crystal system = trigonal
Calculated density = 4.10 g/cm3
E_form (uncorrected) = -1.35 eV per atom
N(E_F) = 3.21 states/eV per cell
Final energy = -13.557 eV per atom

---

Number 1: V 53.4 Å³ per cell. Number 2: V 80.4 Å³ per cell. Number 3: V 319.3 Å³ per cell. Number 4: V 66.0 Å³ per cell. Number 5: V 93.5 Å³ per cell. Number 6: V 95.7 Å³ per cell. Number 7: V 134.5 Å³ per cell. Number 8: V 59.7 Å³ per cell. Number 9: V 123.9 Å³ per cell. Number 10: V 141.3 Å³ per cell. Number 11: V 130.8 Å³ per cell. Number 12: V 159.9 Å³ per cell.